No. 1
Computed, not measured: a relaxed structure of Hf2ZrNiMo at the PBE level of DFT.

```
Hf2ZrNiMo
1.0
4.922 0.000 0.000
0.000 4.607 0.000
0.000 0.000 4.922
Ni Mo Hf Zr
1 1 2 1
direct
0.000 0.500 0.000
0.000 0.000 0.000
0.000 0.000 0.500
0.500 0.000 0.000
0.500 0.500 0.500
```

Output
As for the space group: No. 123. The spin magnetization comes out at 0.00 μB per formula unit. The electronic total energy comes out at -41.076 eV for the cell shown.

***

No. 2
Computed, not measured: a relaxed structure of PaSb2I at the PBE level of DFT.

```
PaSb2I
1.0
4.736 0.000 0.000
2.368 4.102 0.000
2.368 1.367 7.586
I Sb Pa
1 2 1
direct
0.500 0.500 0.500
0.273 0.273 0.180
0.727 0.727 0.820
0.000 0.000 0.000
```

Output
As for the space group: No. 166. Its energy above the most stable polymorph in this dataset is 1.94 eV per formula unit. The value obtained for the formation energy (no corrections) is 0.1285 eV per atom. The spin magnetization comes out at 0.16 μB per formula unit. The electronic total energy comes out at -18.777 eV for the cell shown.

***

No. 3
Computed, not measured: a relaxed structure of VNi8Pt2 at the PBE level of DFT.

```
VNi8Pt2
1.0
4.574 -0.585 -1.274
-0.126 4.056 -2.318
-1.913 1.355 7.186
V Ni Pt
1 8 2
direct
0.000 0.000 0.000
0.238 0.665 0.837
0.762 0.828 0.163
0.139 0.254 0.508
0.861 0.746 0.492
0.238 0.172 0.837
0.762 0.335 0.163
0.730 0.413 0.826
0.270 0.587 0.174
0.536 0.193 0.387
0.464 0.807 0.613
```

Output
As for the space group: No. 12. The spin magnetization comes out at 2.02 μB per formula unit. The electronic total energy comes out at -67.357 eV for the cell shown.

***

Q: The lowest electronic total energy belongs to which entry?
A: VNi8Pt2

***

Q: Which value of electronic total energy does entry 1 give?
A: -41.076 eV for the cell shown

***

Q: What is the spin magnetization in the second record?
A: 0.16 μB per formula unit